Entry 1:
Compound: RbGaCl2
Source: Alexandria
Functional: GGA-PBE
Structure: relaxed

POSCAR file:
```
RbGaCl2
1.0
3.834 0.000 0.000
0.000 3.834 0.000
0.000 0.000 7.681
Cl Rb Ga
2 1 1
direct
0.000 0.000 0.764
0.000 0.000 0.236
0.500 0.500 0.500
0.500 0.500 0.000
```

Computed properties:
VASP energy (eV/atom): -3.1486
Relative energy among the computed polymorphs (eV per formula unit): 0.282
E_form (uncorrected) (eV/atom): -1.227
Fermi-level density of states (states/eV/f.u.): 0.00
Calculated volume (A^3/atom): 28.23
Spin magnetization (μB/f.u.): 0.00

Entry 2:
Compound: Dy2ThIn9
Source: Alexandria
Functional: GGA-PBE
Structure: relaxed

POSCAR file:
```
Dy2ThIn9
1.0
4.672 0.000 0.000
0.000 4.672 0.000
0.000 0.000 14.039
Dy In Th
2 9 1
direct
0.000 0.000 0.664
0.000 0.000 0.336
0.500 0.000 0.828
0.500 0.000 0.172
0.000 0.500 0.828
0.000 0.500 0.500
0.500 0.000 0.500
0.500 0.500 0.335
0.500 0.500 0.665
0.500 0.500 0.000
0.000 0.500 0.172
0.000 0.000 0.000
```

Computed properties:
VASP energy (eV/atom): -3.8338
Fermi-level density of states (states/eV/f.u.): 3.76
Calculated volume (A^3/atom): 25.53
Spin magnetization (μB/f.u.): 0.00